No. 1
Compound: LiZnOs
Source: Alexandria via LeMat-Bulk
Functional: SCAN
Structure: PBEsol geometry

Summary:
DOS(E_F) ... 0.3997 states/eV/atom
Formation energy from the elements ... 0.088 eV/atom
Crystal system ... orthorhombic
E ... -29.174 eV per atom
Space-group type ... Fmm2

abc: 2.6039 2.6039 6.8524
angles: 96.29 96.29 115.03
Last column: nearest neighbours and their distance in Å.
Atoms (fractional coordinates):
Li  0.9981  0.9981  0.9962  2 Os 2.60, 6 Li 2.60-2.80, 2 Zn 2.67
Os  0.3345  0.3345  0.6690  2 Li 2.60, 6 Os 2.60-2.80, 2 Zn 2.64
Zn  0.6674  0.6674  0.3347  6 Zn 2.60-2.80, 2 Os 2.64, 2 Li 2.67

***

No. 2
Compound: Li2ZnOs
Source: Alexandria via LeMat-Bulk
Functional: SCAN
Structure: PBEsol geometry

Summary:
DOS(E_F) ... 0.2974 states/eV/atom
Formation energy from the elements ... -0.005 eV/atom
Crystal system ... monoclinic
E ... -22.549 eV per atom
Space-group type ... P2/m

abc: 2.5635 4.5169 4.6306
angles: 90.00 93.20 90.00
Last column: nearest neighbours and their distance in Å.
Atoms (fractional coordinates):
Li  0.7840  0.0000  0.7707  3 Li 2.34-2.56, 2 Os 2.62
Li  0.2160  0.0000  0.2293  3 Li 2.34-2.56, 2 Os 2.62
Os  0.5000  0.5000  0.0000  2 Os 2.56, 4 Zn 2.58-2.71, 4 Li 2.62
Zn  0.0000  0.5000  0.5000  2 Zn 2.56, 4 Os 2.58-2.71, 4 Li 2.66

***

No. 3
Compound: LiZnOs2
Source: Alexandria via LeMat-Bulk
Functional: SCAN
Structure: PBEsol geometry

Summary:
DOS(E_F) ... 0.6635 states/eV/atom
Formation energy from the elements ... 0.145 eV/atom
Crystal system ... monoclinic
E ... -39.772 eV per atom
Space-group type ... C2/m

abc: 2.6815 4.5826 4.6634
angles: 99.87 106.71 90.00
Last column: nearest neighbours and their distance in Å.
Atoms (fractional coordinates):
Li  0.0000  0.5000  0.0000  6 Os 2.60-2.73, 4 Zn 2.65, 2 Li 2.68
Os  0.2413  0.2542  0.4827  6 Os 2.60-2.72, 3 Li 2.60-2.73, 3 Zn 2.63-2.77
Os  0.7587  0.7458  0.5173  6 Os 2.60-2.72, 3 Li 2.60-2.73, 3 Zn 2.63-2.77
Zn  0.5000  0.0000  0.0000  6 Os 2.63-2.77, 4 Li 2.65, 2 Zn 2.68

***

No. 4
Compound: Li2ZrOs
Source: Alexandria via LeMat-Bulk
Functional: SCAN
Structure: PBEsol geometry

Summary:
DOS(E_F) ... 0.7714 states/eV/atom
Formation energy from the elements ... 0.413 eV/atom
Crystal system ... tetragonal
E ... -26.426 eV per atom
Space-group type ... P4/mmm

abc: 2.6089 2.6089 9.5534
angles: 90.00 90.00 90.00
Last column: nearest neighbours and their distance in Å.
Atoms (fractional coordinates):
Li  0.0000  0.0000  0.7835  4 Li 2.61, 4 Os 2.77
Li  0.0000  0.0000  0.2165  4 Li 2.61, 4 Os 2.77
Os  0.5000  0.5000  0.0000  4 Os 2.61, 8 Li 2.77
Zr  0.5000  0.5000  0.5000  4 Zr 2.61

***

No. 5
Compound: LiZrOs3
Source: Alexandria via LeMat-Bulk
Functional: SCAN
Structure: PBEsol geometry

Summary:
DOS(E_F) ... 0.7743 states/eV/atom
Formation energy from the elements ... 2.266 eV/atom
Crystal system ... cubic
E ... -47.480 eV per atom
Space-group type ... Pm-3m

abc: 4.7979 4.7979 4.7979
angles: 90.00 90.00 90.00
Last column: nearest neighbours and their distance in Å.
Atoms (fractional coordinates):
Os  0.0000  0.5000  0.0000  2 Zr 2.40
Os  0.0000  0.0000  0.5000  2 Zr 2.40
Os  0.5000  0.0000  0.0000  2 Zr 2.40
Zr  0.0000  0.0000  0.0000  6 Os 2.40
Li  0.5000  0.5000  0.5000  12 Os 3.39

***

No. 6
Compound: Li2ZrOs
Source: Alexandria via LeMat-Bulk
Functional: SCAN
Structure: PBEsol geometry

Summary:
DOS(E_F) ... 0.3901 states/eV/atom
Formation energy from the elements ... 0.265 eV/atom
Crystal system ... tetragonal
E ... -26.575 eV per atom
Space-group type ... P4/mmm

abc: 3.3469 3.3469 5.2000
angles: 90.00 90.00 90.00
Last column: nearest neighbours and their distance in Å.
Atoms (fractional coordinates):
Li  0.0000  0.0000  0.7944  1 Li 2.14
Li  0.0000  0.0000  0.2056  1 Li 2.14
Os  0.5000  0.5000  0.0000  8 Li 2.60, 2 Zr 2.60
Zr  0.5000  0.5000  0.5000  2 Os 2.60, 8 Li 2.82

***

No. 7
Compound: Li2ZrOs
Source: Alexandria via LeMat-Bulk
Functional: SCAN
Structure: PBEsol geometry

Summary:
DOS(E_F) ... 0.3876 states/eV/atom
Formation energy from the elements ... -0.015 eV/atom
Crystal system ... tetragonal
E ... -26.855 eV per atom
Space-group type ... I4/mmm

abc: 3.7204 3.7204 5.2536
angles: 110.74 110.74 90.00
Last column: nearest neighbours and their distance in Å.
Atoms (fractional coordinates):
Li  0.7500  0.2500  0.5000  4 Li 2.63, 4 Zr 2.94, 4 Os 2.94
Li  0.2500  0.7500  0.5000  4 Li 2.63, 4 Zr 2.94, 4 Os 2.94
Os  0.5000  0.5000  0.0000  4 Zr 2.63, 8 Li 2.94
Zr  0.0000  0.0000  0.0000  4 Os 2.63, 8 Li 2.94

***

No. 8
Compound: LiP
Source: Alexandria via LeMat-Bulk
Functional: SCAN
Structure: PBEsol geometry

Summary:
Excess energy over the best structure of this formula in the dataset ... 152.2 kJ/mol of formula units
DOS(E_F) ... 0.3485 states/eV/atom
Formation energy from the elements ... 0.188 eV/atom
Crystal system ... trigonal
E ... -6.206 eV per atom
Space-group type ... P-3m1

abc: 2.6425 2.6425 9.7464
angles: 90.00 90.00 120.00
Last column: nearest neighbours and their distance in Å.
Atoms (fractional coordinates):
P  0.3333  0.6667  0.6590  3 Li 2.51, 6 P 2.64
P  0.6667  0.3333  0.3410  3 Li 2.51, 6 P 2.64
Li  0.3333  0.6667  0.1362  3 P 2.51, 6 Li 2.64
Li  0.6667  0.3333  0.8638  3 P 2.51, 6 Li 2.64

***

No. 9
Compound: LiP5
Source: Alexandria via LeMat-Bulk
Functional: SCAN
Structure: PBEsol geometry

Summary:
Formation energy from the elements ... -0.137 eV/atom
Crystal system ... orthorhombic
E ... -9.201 eV per atom
Space-group type ... Pna2_1

abc: 5.9894 7.9559 9.3091
angles: 90.00 90.00 90.00
Last column: nearest neighbours and their distance in Å.
Atoms (fractional coordinates):
Li  0.7717  0.3740  0.6341  6 P 2.51-2.78
Li  0.7717  0.1260  0.1341  6 P 2.51-2.78
Li  0.2717  0.8740  0.8659  6 P 2.51-2.78
Li  0.2717  0.6260  0.3659  6 P 2.51-2.78
P  0.8514  0.4906  0.8864  3 P 2.24-2.26
P  0.8514  0.0094  0.3864  3 P 2.24-2.26
P  0.7142  0.4362  0.1059  3 P 2.24-2.25, 1 Li 2.51
P  0.9412  0.8487  0.0579  2 P 2.18-2.20
P  0.7036  0.7485  0.3984  3 P 2.20-2.26
P  0.9412  0.6513  0.5579  2 P 2.18-2.20
P  0.7036  0.7515  0.8984  3 P 2.20-2.26
P  0.7142  0.0638  0.6059  3 P 2.24-2.25, 1 Li 2.51
P  0.3998  0.3538  0.7860  3 P 2.18-2.24
P  0.3998  0.1462  0.2860  3 P 2.18-2.24
P  0.3514  0.9906  0.6136  3 P 2.24-2.26
P  0.3514  0.5094  0.1136  3 P 2.24-2.26
P  0.2036  0.2485  0.1016  3 P 2.20-2.26
P  0.2142  0.5638  0.8941  3 P 2.24-2.25, 1 Li 2.51
P  0.4412  0.1513  0.9421  2 P 2.18-2.20
P  0.2036  0.2515  0.6016  3 P 2.20-2.26
P  0.2142  0.9362  0.3941  3 P 2.24-2.25, 1 Li 2.51
P  0.4412  0.3487  0.4421  2 P 2.18-2.20
P  0.8998  0.8538  0.7140  3 P 2.18-2.24
P  0.8998  0.6462  0.2140  3 P 2.18-2.24

***

No. 10
Compound: Li2P
Source: Alexandria via LeMat-Bulk
Functional: SCAN
Structure: PBEsol geometry

Summary:
Excess energy over the best structure of this formula in the dataset ... 0.5 kJ/mol of formula units
DOS(E_F) ... 0.0854 states/eV/atom
Formation energy from the elements ... -0.628 eV/atom
Crystal system ... monoclinic
E ... -5.687 eV per atom
Space-group type ... C2/m

abc: 2.7326 4.3535 7.1521
angles: 94.39 90.00 108.29
Last column: nearest neighbours and their distance in Å.
Atoms (fractional coordinates):
P  0.3770  0.7540  0.2568  9 Li 2.52-2.66, 2 P 2.73
P  0.6230  0.2460  0.7432  9 Li 2.52-2.66, 2 P 2.73
Li  0.8792  0.7583  0.5755  1 Li 2.35, 1 P 2.52
Li  0.6435  0.2871  0.0984  4 P 2.53-2.56, 7 Li 2.66-2.73
Li  0.3565  0.7129  0.9016  4 P 2.53-2.56, 7 Li 2.66-2.73
Li  0.1208  0.2417  0.4245  1 Li 2.35, 1 P 2.52